Entry A
# CsNbS2Cl, relaxed, DFT GGA-PBE
data_CsNbS2Cl
_symmetry_space_group_name_H-M 'P 1'
_symmetry_Int_Tables_number 1
_cell_length_a 4.894
_cell_length_b 4.894
_cell_length_c 5.265
_cell_angle_alpha 90.00
_cell_angle_beta 90.00
_cell_angle_gamma 90.00
loop_
_symmetry_equiv_pos_as_xyz
'x,y,z'
loop_
_atom_site_label
_atom_site_type_symbol
_atom_site_fract_x
_atom_site_fract_y
_atom_site_fract_z
Cs1 Cs 0.500 0.500 0.500
Nb1 Nb 0.000 0.000 0.000
S1 S 0.000 0.500 0.000
S2 S 0.500 0.000 0.000
Cl1 Cl 0.000 0.000 0.500
# Space group: P4/mmm (123)
# Volume, A^3/atom: 25.22



Entry B
# CsNbS2Cl, relaxed, DFT GGA-PBE
data_CsNbS2Cl
_symmetry_space_group_name_H-M 'P 1'
_symmetry_Int_Tables_number 1
_cell_length_a 5.394
_cell_length_b 5.394
_cell_length_c 5.910
_cell_angle_alpha 90.00
_cell_angle_beta 90.00
_cell_angle_gamma 90.00
loop_
_symmetry_equiv_pos_as_xyz
'x,y,z'
loop_
_atom_site_label
_atom_site_type_symbol
_atom_site_fract_x
_atom_site_fract_y
_atom_site_fract_z
Cs1 Cs 0.000 0.000 0.000
Nb1 Nb 0.500 0.500 0.500
S1 S 0.000 0.500 0.000
S2 S 0.500 0.000 0.000
Cl1 Cl 0.000 0.000 0.500
# Space group: P4/mmm (123)
# Volume, A^3/atom: 34.40



Which of them is the least stable? Correct choice: entry B.



Entry A
# Cs2NdCl5, relaxed, DFT GGA-PBE
data_Cs2NdCl5
_symmetry_space_group_name_H-M 'P 1'
_symmetry_Int_Tables_number 1
_cell_length_a 5.616
_cell_length_b 9.276
_cell_length_c 15.512
_cell_angle_alpha 90.00
_cell_angle_beta 90.00
_cell_angle_gamma 107.62
loop_
_symmetry_equiv_pos_as_xyz
'x,y,z'
loop_
_atom_site_label
_atom_site_type_symbol
_atom_site_fract_x
_atom_site_fract_y
_atom_site_fract_z
Cs1 Cs 0.860 0.721 0.433
Cs2 Cs 0.860 0.721 0.067
Cs3 Cs 0.140 0.279 0.567
Cs4 Cs 0.140 0.279 0.933
Nd1 Nd 0.843 0.686 0.750
Nd2 Nd 0.157 0.314 0.250
Cl1 Cl 0.953 0.907 0.871
Cl2 Cl 0.953 0.907 0.629
Cl3 Cl 0.262 0.523 0.383
Cl4 Cl 0.262 0.523 0.117
Cl5 Cl 0.677 0.354 0.250
Cl6 Cl 0.323 0.646 0.750
Cl7 Cl 0.738 0.477 0.617
Cl8 Cl 0.738 0.477 0.883
Cl9 Cl 0.047 0.093 0.129
Cl10 Cl 0.047 0.093 0.371
# Space group: Cmcm (63)
# Volume, A^3/atom: 48.13



Entry B
# Cs2NdCl5, relaxed, DFT GGA-PBE
data_Cs2NdCl5
_symmetry_space_group_name_H-M 'P 1'
_symmetry_Int_Tables_number 1
_cell_length_a 8.728
_cell_length_b 9.153
_cell_length_c 14.058
_cell_angle_alpha 90.00
_cell_angle_beta 90.00
_cell_angle_gamma 90.00
loop_
_symmetry_equiv_pos_as_xyz
'x,y,z'
loop_
_atom_site_label
_atom_site_type_symbol
_atom_site_fract_x
_atom_site_fract_y
_atom_site_fract_z
Cs1 Cs 0.437 0.506 0.830
Cs2 Cs 0.563 0.494 0.170
Cs3 Cs 0.937 0.494 0.670
Cs4 Cs 0.563 0.006 0.170
Cs5 Cs 0.063 0.506 0.330
Cs6 Cs 0.437 0.994 0.830
Cs7 Cs 0.063 0.994 0.330
Cs8 Cs 0.937 0.006 0.670
Nd1 Nd 0.435 0.250 0.504
Nd2 Nd 0.565 0.750 0.496
Nd3 Nd 0.935 0.750 0.996
Nd4 Nd 0.065 0.250 0.004
Cl1 Cl 0.116 0.250 0.516
Cl2 Cl 0.884 0.750 0.484
Cl3 Cl 0.616 0.750 0.984
Cl4 Cl 0.384 0.250 0.016
Cl5 Cl 0.344 0.958 0.564
Cl6 Cl 0.656 0.042 0.436
Cl7 Cl 0.844 0.042 0.936
Cl8 Cl 0.656 0.458 0.436
Cl9 Cl 0.156 0.958 0.064
Cl10 Cl 0.344 0.542 0.564
Cl11 Cl 0.156 0.542 0.064
Cl12 Cl 0.844 0.458 0.936
Cl13 Cl 0.141 0.250 0.813
Cl14 Cl 0.859 0.750 0.187
Cl15 Cl 0.641 0.750 0.687
Cl16 Cl 0.359 0.250 0.313
Cl17 Cl 0.604 0.250 0.671
Cl18 Cl 0.396 0.750 0.329
Cl19 Cl 0.104 0.750 0.829
Cl20 Cl 0.896 0.250 0.171
# Space group: Pnma (62)
# Volume, A^3/atom: 35.10



Which of them is the least stable? Correct choice: entry A.



Entry A
# CsNdCl4, relaxed, DFT GGA-PBE
data_CsNdCl4
_symmetry_space_group_name_H-M 'P 1'
_symmetry_Int_Tables_number 1
_cell_length_a 4.395
_cell_length_b 7.910
_cell_length_c 20.434
_cell_angle_alpha 90.00
_cell_angle_beta 90.00
_cell_angle_gamma 90.00
loop_
_symmetry_equiv_pos_as_xyz
'x,y,z'
loop_
_atom_site_label
_atom_site_type_symbol
_atom_site_fract_x
_atom_site_fract_y
_atom_site_fract_z
Cs1 Cs 0.750 0.773 0.798
Cs2 Cs 0.250 0.227 0.202
Cs3 Cs 0.250 0.727 0.298
Cs4 Cs 0.750 0.273 0.702
Nd1 Nd 0.750 0.252 0.445
Nd2 Nd 0.250 0.748 0.555
Nd3 Nd 0.250 0.248 0.945
Nd4 Nd 0.750 0.752 0.055
Cl1 Cl 0.750 0.893 0.626
Cl2 Cl 0.250 0.107 0.374
Cl3 Cl 0.250 0.607 0.126
Cl4 Cl 0.750 0.393 0.874
Cl5 Cl 0.750 0.860 0.464
Cl6 Cl 0.250 0.140 0.536
Cl7 Cl 0.250 0.640 0.964
Cl8 Cl 0.750 0.360 0.036
Cl9 Cl 0.750 0.994 0.942
Cl10 Cl 0.250 0.006 0.058
Cl11 Cl 0.250 0.506 0.442
Cl12 Cl 0.750 0.494 0.558
Cl13 Cl 0.750 0.899 0.183
Cl14 Cl 0.250 0.101 0.817
Cl15 Cl 0.250 0.601 0.683
Cl16 Cl 0.750 0.399 0.317
# Space group: Pnma (62)
# Volume, A^3/atom: 29.60



Entry B
# CsNdCl4, relaxed, DFT GGA-PBE
data_CsNdCl4
_symmetry_space_group_name_H-M 'P 1'
_symmetry_Int_Tables_number 1
_cell_length_a 4.862
_cell_length_b 4.862
_cell_length_c 8.273
_cell_angle_alpha 90.00
_cell_angle_beta 90.00
_cell_angle_gamma 90.00
loop_
_symmetry_equiv_pos_as_xyz
'x,y,z'
loop_
_atom_site_label
_atom_site_type_symbol
_atom_site_fract_x
_atom_site_fract_y
_atom_site_fract_z
Cs1 Cs 0.000 0.000 0.000
Nd1 Nd 0.500 0.500 0.500
Cl1 Cl 0.500 0.000 0.697
Cl2 Cl 0.000 0.500 0.697
Cl3 Cl 0.500 0.000 0.303
Cl4 Cl 0.000 0.500 0.303
# Space group: P4/mmm (123)
# Volume, A^3/atom: 32.60



Which of them is the least stable? Correct choice: entry B.



Entry A
# Cs2NiCl, relaxed, DFT GGA-PBE
data_Cs2NiCl
_symmetry_space_group_name_H-M 'P 1'
_symmetry_Int_Tables_number 1
_cell_length_a 6.113
_cell_length_b 6.113
_cell_length_c 6.113
_cell_angle_alpha 60.00
_cell_angle_beta 60.00
_cell_angle_gamma 60.00
loop_
_symmetry_equiv_pos_as_xyz
'x,y,z'
loop_
_atom_site_label
_atom_site_type_symbol
_atom_site_fract_x
_atom_site_fract_y
_atom_site_fract_z
Cs1 Cs 0.250 0.250 0.250
Cs2 Cs 0.750 0.750 0.750
Ni1 Ni 0.500 0.500 0.500
Cl1 Cl 0.000 0.000 0.000
# Space group: Fm-3m (225)
# Volume, A^3/atom: 40.39



Entry B
# Cs2NiCl, relaxed, DFT GGA-PBE
data_Cs2NiCl
_symmetry_space_group_name_H-M 'P 1'
_symmetry_Int_Tables_number 1
_cell_length_a 9.187
_cell_length_b 9.187
_cell_length_c 8.360
_cell_angle_alpha 56.67
_cell_angle_beta 56.67
_cell_angle_gamma 90.00
loop_
_symmetry_equiv_pos_as_xyz
'x,y,z'
loop_
_atom_site_label
_atom_site_type_symbol
_atom_site_fract_x
_atom_site_fract_y
_atom_site_fract_z
Cs1 Cs 0.600 0.125 0.250
Cs2 Cs 0.150 0.625 0.250
Cs3 Cs 0.375 0.400 0.750
Cs4 Cs 0.875 0.850 0.750
Ni1 Ni 0.000 0.000 0.000
Ni2 Ni 0.750 0.250 0.500
Cl1 Cl 0.500 0.500 0.000
Cl2 Cl 0.250 0.750 0.500
# Space group: I-42d (122)
# Volume, A^3/atom: 55.52



Which of them is the least stable? Correct choice: entry B.